LiNi9O10 | the Alexandria database | GGA+U | relaxed; DFT total energy = -4.835 eV per atom; size of the total moment = 0.85 μB per atom
1.0
5.9372 0.0035 0.0011
1.4889 4.9236 0.0048
1.4848 -1.3576 6.3372
Li Ni O
1 9 10
direct
0.1000 0.2000 0.4000
0.7037 0.3982 0.7962
0.1992 0.3983 0.7967
0.9032 0.7977 0.5964
0.3979 0.8026 0.5979
0.6000 0.2000 0.4000
0.8021 0.5974 0.2021
0.0008 0.0017 0.0033
0.2968 0.6023 0.2036
0.4963 0.0018 0.0038
0.3510 0.6991 0.9018
0.8490 0.7009 0.8982
0.5517 0.1005 0.7000
0.0471 0.0972 0.7084
0.7416 0.5062 0.5035
0.2535 0.5055 0.5014
0.9465 0.8945 0.2986
0.4584 0.8938 0.2965
0.6483 0.2995 0.1000
0.1529 0.3028 0.0916